# 1
NdMgScTc PBE relaxed; energy relative to the elements = 0.032 eV per atom; raw total energy = -5.73 eV per atom
1.0
-0.208 2.606 -4.232
1.144 -2.180 -4.322
-3.572 -0.946 -3.330
Sc Mg Nd Tc
1 1 1 1
Cartesian
-0.659 -0.130 -2.971 Sc
0.000 0.000 0.000 Mg
-1.977 -0.391 -8.913 Nd
-1.318 -0.260 -5.942 Tc

---

# 2
Nd2MgScTe5 PBE relaxed; ΔE_f (raw) = -1041 kJ/mol of formula units; raw total energy = -4.88 eV per atom
1.0
-1.962 1.526 -3.524
-5.787 -7.340 2.682
-7.101 8.366 7.578
Nd Mg Sc Te
4 2 2 10
Cartesian
-11.642 2.654 4.994 Nd
-6.371 4.223 5.377 Nd
-3.953 0.776 2.538 Nd
-7.515 -2.806 0.331 Nd
-8.616 7.937 5.597 Mg
-9.158 -1.940 4.259 Mg
-8.640 1.166 2.678 Sc
-2.857 -2.565 0.480 Sc
-11.941 3.636 8.224 Te
-9.661 5.344 5.056 Te
-12.258 -0.031 6.813 Te
-8.535 1.846 5.552 Te
-11.116 -0.289 3.426 Te
-6.434 3.071 2.274 Te
-6.646 -1.075 3.235 Te
-2.993 3.056 0.352 Te
-5.096 -0.730 -0.117 Te
-1.266 -0.067 0.676 Te